The following is a DFT calculation (PBE-GGA) of crystalline BeNbGe at its relaxed geometry.

Cell and atoms, written as CIF:
```
data_BeNbGe
_chemical_formula_sum 'Be2 Nb2 Ge2'
_space_group_name_H-M_alt 'P -1'
_space_group_IT_number 2
_space_group_name_Hall '-P 1'
_cell_length_a 2.879
_cell_length_b 5.187
_cell_length_c 6.431
_cell_angle_alpha 70.62
_cell_angle_beta 78.85
_cell_angle_gamma 75.55
loop_
_atom_site_label
_atom_site_fract_x
_atom_site_fract_y
_atom_site_fract_z
_atom_site_occupancy
Be1 0.089 0.300 0.479 1
Nb1 0.411 0.348 0.831 1
Ge1 0.157 0.891 0.783 1
```

## Properties
E   -6.2404 eV per atom
Calculated volume   87.1 Å³/cell
Magnetic moment   0.0 μB/f.u.
DFT formation energy   -103 meV per atom


The following is a DFT calculation (PBE-GGA) of crystalline BeNb4Ge at its relaxed geometry.

Cell and atoms, written as CIF:
```
data_BeNb4Ge
_chemical_formula_sum 'Be2 Nb8 Ge2'
_space_group_name_H-M_alt 'P 4/m c c'
_space_group_IT_number 124
_space_group_name_Hall '-P 4 2c'
_cell_length_a 6.147
_cell_length_b 6.147
_cell_length_c 5.135
_cell_angle_alpha 90.00
_cell_angle_beta 90.00
_cell_angle_gamma 90.00
loop_
_atom_site_label
_atom_site_fract_x
_atom_site_fract_y
_atom_site_fract_z
_atom_site_occupancy
Be1 0.000 0.000 0.250 1
Nb1 0.145 0.325 0.000 1
Ge1 0.500 0.500 0.250 1
```

## Properties
E   -8.4070 eV per atom
Calculated volume   194.0 Å³/cell
Magnetic moment   0.0 μB/f.u.
DFT formation energy   -303 meV per atom


The following is a DFT calculation (PBE-GGA) of crystalline BeNbGe at its relaxed geometry.

Cell and atoms, written as CIF:
```
data_BeNbGe
_chemical_formula_sum 'Be4 Nb4 Ge4'
_space_group_name_H-M_alt 'C m m m'
_space_group_IT_number 65
_space_group_name_Hall '-C 2 2'
_cell_length_a 4.719
_cell_length_b 11.536
_cell_length_c 3.232
_cell_angle_alpha 90.00
_cell_angle_beta 90.00
_cell_angle_gamma 90.00
loop_
_atom_site_label
_atom_site_fract_x
_atom_site_fract_y
_atom_site_fract_z
_atom_site_occupancy
Be1 0.222 0.000 0.000 1
Nb1 0.000 0.152 0.500 1
Ge1 0.000 0.337 0.000 1
```

## Properties
E   -6.2618 eV per atom
Calculated volume   176.0 Å³/cell
Magnetic moment   0.0 μB/f.u.
DFT formation energy   -124 meV per atom